[1]
CsYZr2 | PBE | optimized geometry

Unit cell a=4.5273 b=4.5273 c=23.2564 alpha=90.00 beta=90.00 gamma=90.00
Space group I-42d (No. 122)
One atom of each set of equivalent atoms:
Cs: 0.0000 0.0000 0.0000 [4 per cell]
Y: 0.0000 0.0000 0.5000 [4 per cell]
Zr: 0.2385 0.2500 0.6250 [8 per cell]

Computed properties:
**Formation energy from the elements**: 1176.2 meV per atom
**E_tot**: -0.181 Ha/atom
**Offset from the most stable computed form**: 6 meV per atom

=====

[2]
Cs2YZr | PBE | optimized geometry

Unit cell a=8.7908 b=8.7908 c=8.7908 alpha=90.00 beta=90.00 gamma=90.00
Space group Fm-3m (No. 225)
One atom of each set of equivalent atoms:
Cs: 0.2500 0.2500 0.2500 [8 per cell]
Y: 0.0000 0.0000 0.0000 [4 per cell]
Zr: 0.0000 0.0000 0.5000 [4 per cell]

Computed properties:
**Formation energy from the elements**: 1423.4 meV per atom
**E_tot**: -0.101 Ha/atom

=====

[3]
CsYZr2 | PBE | optimized geometry

Unit cell a=7.7905 b=7.7905 c=7.7905 alpha=90.00 beta=90.00 gamma=90.00
Space group Fm-3m (No. 225)
One atom of each set of equivalent atoms:
Cs: 0.0000 0.0000 0.0000 [4 per cell]
Y: 0.0000 0.0000 0.5000 [4 per cell]
Zr: 0.2500 0.2500 0.2500 [8 per cell]

Computed properties:
**Formation energy from the elements**: 1170.7 meV per atom
**E_tot**: -0.181 Ha/atom
**Offset from the most stable computed form**: 0 meV per atom

=====

[4]
CsZn13 | PBE | optimized geometry

Unit cell a=12.4984 b=12.4984 c=12.4984 alpha=90.00 beta=90.00 gamma=90.00
Space group Fm-3c (No. 226)
One atom of each set of equivalent atoms:
Cs: 0.2500 0.2500 0.2500 [8 per cell]
Zn: 0.0000 0.0000 0.0000 [8 per cell]
Zn: 0.0000 0.1189 0.1793 [96 per cell]

Computed properties:
**Formation energy from the elements**: -7.0 meV per atom
**E_tot**: -0.046 Ha/atom

=====

[5]
Cs6Zn | PBE | optimized geometry

Unit cell a=14.1910 b=14.1910 c=14.1910 alpha=90.00 beta=90.00 gamma=90.00
Space group Im-3m (No. 229)
One atom of each set of equivalent atoms:
Cs: 0.0000 0.2500 0.5000 [12 per cell]
Zn: 0.0000 0.0000 0.0000 [2 per cell]

Computed properties:
**Formation energy from the elements**: 387.3 meV per atom
**E_tot**: -0.019 Ha/atom

=====

[6]
CsZn | PBE | optimized geometry

Unit cell a=4.7348 b=16.8903 c=7.7431 alpha=90.00 beta=90.00 gamma=90.00
Space group Pmmn (No. 59, origin choice 2)
One atom of each set of equivalent atoms:
Cs: 0.2500 0.0293 0.2312 [4 per cell]
Cs: 0.2500 0.7500 0.4434 [2 per cell]
Zn: 0.2500 0.2500 0.0753 [2 per cell]
Zn: 0.2500 0.6745 0.9568 [4 per cell]

Computed properties:
**Formation energy from the elements**: 126.8 meV per atom
**E_tot**: -0.034 Ha/atom
**Offset from the most stable computed form**: 73 meV per atom

=====

[7]
CsZn | PBE | optimized geometry

Unit cell a=13.9733 b=13.9733 c=4.8604 alpha=90.00 beta=90.00 gamma=90.00
Space group I4/mmm (No. 139)
One atom of each set of equivalent atoms:
Cs: 0.0000 0.2538 0.0000 [8 per cell]
Zn: 0.2315 0.2315 0.5000 [8 per cell]

Computed properties:
**Formation energy from the elements**: 114.5 meV per atom
**E_tot**: -0.035 Ha/atom
**Offset from the most stable computed form**: 61 meV per atom

=====

[8]
CsZn | PBE | optimized geometry

Unit cell a=10.9617 b=10.9617 c=10.9617 alpha=90.00 beta=90.00 gamma=90.00
Space group I-43m (No. 217)
One atom of each set of equivalent atoms:
Cs: 0.2117 0.2117 0.7883 [8 per cell]
Zn: 0.0868 0.0868 0.0868 [8 per cell]

Computed properties:
**Formation energy from the elements**: 247.8 meV per atom
**E_tot**: -0.030 Ha/atom
**Offset from the most stable computed form**: 194 meV per atom

=====

[9]
CsZn | PBE | optimized geometry

Unit cell a=12.9089 b=12.9089 c=4.6819 alpha=90.00 beta=90.00 gamma=120.00
Space group P6_3/m (No. 176)
One atom of each set of equivalent atoms:
Cs: 0.1332 0.3962 0.2500 [6 per cell]
Zn: 0.0463 0.1383 0.7500 [6 per cell]

Computed properties:
**Formation energy from the elements**: 53.5 meV per atom
**E_tot**: -0.037 Ha/atom
**Offset from the most stable computed form**: 0 meV per atom

=====

[10]
CsZn8 | PBE | optimized geometry

Unit cell a=2.9867 b=6.9563 c=17.1812 alpha=90.00 beta=90.00 gamma=90.00
Space group Imm2 (No. 44)
One atom of each set of equivalent atoms:
Cs: 0.0000 0.0000 0.0000 [2 per cell]
Zn: 0.0000 0.0000 0.2130 [2 per cell]
Zn: 0.0000 0.0000 0.4365 [2 per cell]
Zn: 0.0000 0.1978 0.6716 [4 per cell]
Zn: 0.0000 0.3042 0.8298 [4 per cell]
Zn: 0.0000 0.5000 0.0672 [2 per cell]
Zn: 0.0000 0.5000 0.2900 [2 per cell]

Computed properties:
**Formation energy from the elements**: 118.4 meV per atom
**E_tot**: -0.041 Ha/atom

=====

[11]
CsZn | PBE | optimized geometry

Unit cell a=4.7125 b=12.0310 c=10.2576 alpha=90.00 beta=90.00 gamma=90.00
Space group Amm2 (No. 38)
One atom of each set of equivalent atoms:
Cs: 0.0000 0.0000 0.0000 [2 per cell]
Cs: 0.5000 0.1944 0.6373 [4 per cell]
Zn: 0.0000 0.1080 0.3468 [4 per cell]
Zn: 0.5000 0.0000 0.3133 [2 per cell]

Computed properties:
**Formation energy from the elements**: 107.5 meV per atom
**E_tot**: -0.035 Ha/atom
**Offset from the most stable computed form**: 54 meV per atom

=====

[12]
CsZn | PBE | optimized geometry

Unit cell a=10.6660 b=10.6660 c=10.6660 alpha=90.00 beta=90.00 gamma=90.00
Space group Pm-3n (No. 223)
One atom of each set of equivalent atoms:
Cs: 0.0000 0.2500 0.5000 [6 per cell]
Zn: 0.0000 0.5000 0.2500 [6 per cell]

Computed properties:
**Formation energy from the elements**: 499.5 meV per atom
**E_tot**: -0.021 Ha/atom
**Offset from the most stable computed form**: 446 meV per atom

=====

[13]
Cs12Zn | PBE | optimized geometry

Unit cell a=14.0226 b=14.0226 c=14.0226 alpha=90.00 beta=90.00 gamma=90.00
Space group Im-3 (No. 204)
One atom of each set of equivalent atoms:
Cs: 0.0000 0.1740 0.3052 [24 per cell]
Zn: 0.0000 0.0000 0.0000 [2 per cell]

Computed properties:
**Formation energy from the elements**: 72.5 meV per atom
**E_tot**: -0.030 Ha/atom

=====

[14]
CsZn2 | PBE | optimized geometry

Unit cell a=9.1141 b=9.1141 c=9.1141 alpha=90.00 beta=90.00 gamma=90.00
Space group Fd-3m (No. 227, origin choice 2)
One atom of each set of equivalent atoms:
Cs: 0.1250 0.1250 0.1250 [8 per cell]
Zn: 0.0000 0.0000 0.5000 [16 per cell]

Computed properties:
**Formation energy from the elements**: 234.5 meV per atom
**E_tot**: -0.033 Ha/atom

=====

[15]
CsZn | PBE | optimized geometry

Unit cell a=7.6447 b=11.2347 c=17.9784 alpha=90.00 beta=90.00 gamma=90.00
Space group Fddd (No. 70, origin choice 2)
One atom of each set of equivalent atoms:
Cs: 0.1250 0.3057 0.1250 [16 per cell]
Zn: 0.1250 0.1250 0.5521 [16 per cell]

Computed properties:
**Formation energy from the elements**: 217.9 meV per atom
**E_tot**: -0.031 Ha/atom
**Offset from the most stable computed form**: 164 meV per atom

=====

[16]
CsZn | PBE | optimized geometry

Unit cell a=6.5418 b=6.5418 c=7.6227 alpha=90.00 beta=90.00 gamma=120.00
Space group P6_3/mmc (No. 194)
One atom of each set of equivalent atoms:
Cs: 0.3333 0.6667 0.2500 [2 per cell]
Zn: 0.3333 0.6667 0.7500 [2 per cell]

Computed properties:
**Formation energy from the elements**: 373.0 meV per atom
**E_tot**: -0.025 Ha/atom
**Offset from the most stable computed form**: 320 meV per atom

=====

[17]
CsZn3 | PBE | optimized geometry

Unit cell a=7.6919 b=4.4408 c=7.3263 alpha=90.00 beta=110.31 gamma=90.00
Space group C2/m (No. 12)
One atom of each set of equivalent atoms:
Cs: 0.0000 0.0000 0.0000 [2 per cell]
Zn: 0.0000 0.5000 0.5000 [2 per cell]
Zn: 0.1804 0.0000 0.5415 [4 per cell]

Computed properties:
**Formation energy from the elements**: -9.2 meV per atom
**E_tot**: -0.043 Ha/atom

=====

[18]
CsZn | PBE | optimized geometry

Unit cell a=8.5465 b=8.5465 c=8.5465 alpha=90.00 beta=90.00 gamma=90.00
Space group F-43m (No. 216)
One atom of each set of equivalent atoms:
Cs: 0.0000 0.0000 0.0000 [4 per cell]
Zn: 0.2500 0.2500 0.2500 [4 per cell]

Computed properties:
**Formation energy from the elements**: 455.2 meV per atom
**E_tot**: -0.022 Ha/atom
**Offset from the most stable computed form**: 402 meV per atom

=====

[19]
CsZn | PBE | optimized geometry

Unit cell a=5.8388 b=13.4612 c=4.9002 alpha=90.00 beta=90.00 gamma=90.00
Space group Cmcm (No. 63)
One atom of each set of equivalent atoms:
Cs: 0.0000 0.1480 0.2500 [4 per cell]
Zn: 0.0000 0.4688 0.2500 [4 per cell]

Computed properties:
**Formation energy from the elements**: 107.0 meV per atom
**E_tot**: -0.035 Ha/atom
**Offset from the most stable computed form**: 53 meV per atom

=====

[20]
CsZn | PBE | optimized geometry

Unit cell a=13.5140 b=13.5140 c=4.8687 alpha=90.00 beta=90.00 gamma=90.00
Space group P4/mmm (No. 123)
One atom of each set of equivalent atoms:
Cs: 0.0000 0.2825 0.0000 [4 per cell]
Cs: 0.3300 0.3300 0.5000 [4 per cell]
Zn: 0.0978 0.5000 0.5000 [4 per cell]
Zn: 0.1601 0.5000 0.0000 [4 per cell]

Computed properties:
**Formation energy from the elements**: 99.0 meV per atom
**E_tot**: -0.035 Ha/atom
**Offset from the most stable computed form**: 45 meV per atom

=====

[21]
CsZn | PBE | optimized geometry

Unit cell a=8.1128 b=8.1954 c=11.7575 alpha=90.00 beta=90.00 gamma=90.00
Space group Pnma (No. 62)
One atom of each set of equivalent atoms:
Cs: 0.1102 0.2500 0.1182 [4 per cell]
Cs: 0.1603 0.2500 0.7319 [4 per cell]
Zn: 0.0908 0.0904 0.4359 [8 per cell]

Computed properties:
**Formation energy from the elements**: 128.8 meV per atom
**E_tot**: -0.034 Ha/atom
**Offset from the most stable computed form**: 75 meV per atom